A plane-wave DFT calculation with GGA+U was carried out for CsVIr2F after structural relaxation.

```
CsVIr2F
1.0
5.075 0.000 0.000
0.000 4.559 0.000
0.000 0.000 5.075
Cs F Ir V
1 1 2 1
direct
0.000 0.000 0.000 Cs
0.000 0.500 0.000 F
0.000 0.000 0.500 Ir
0.500 0.000 0.000 Ir
0.500 0.500 0.500 V
```

Calculated values
- energy (eV/cell) = -16.76